(1)
First-principles (PBEsol) data for crystalline MgNiAu2 at its relaxed geometry, as listed in the Alexandria database.

abc: 4.8495 4.8495 4.8495
angles: 132.76 132.76 69.03
Atoms (fractional coordinates):
Mg1 0.0000 0.0000 0.0000
Ni1 0.7500 0.2500 0.5000
Au1 0.2500 0.7500 0.5000
Au2 0.5000 0.5000 0.0000

Summary:
energy relative to the elements: -296 meV/atom
E: -4.227 eV/atom
calculated density: 13.1 g/cm3

---

(2)
First-principles (PBEsol) data for crystalline LiVO2F2 at its relaxed geometry, as listed in the Alexandria database.

abc: 9.1656 5.2032 5.9938
angles: 90.00 90.00 90.00
Atoms (fractional coordinates):
Li1 0.2244 0.0833 0.0000
Li2 0.2756 0.0833 0.5000
Li3 0.7244 0.9167 0.0000
Li4 0.7756 0.9167 0.5000
V1 0.0811 0.6137 0.7142
V2 0.4189 0.6137 0.2142
V3 0.5811 0.3863 0.7142
V4 0.9189 0.3863 0.2142
O1 0.0113 0.4408 0.4488
O2 0.2208 0.7999 0.7645
O3 0.2792 0.7999 0.2645
O4 0.4887 0.4408 0.9488
O5 0.5113 0.5592 0.4488
O6 0.7208 0.2001 0.7645
O7 0.7792 0.2001 0.2645
O8 0.9887 0.5592 0.9488
F1 0.0322 0.1276 0.0994
F2 0.1930 0.3095 0.7266
F3 0.3070 0.3095 0.2266
F4 0.4678 0.1276 0.5994
F5 0.5322 0.8724 0.0994
F6 0.6930 0.6905 0.7266
F7 0.8070 0.6905 0.2266
F8 0.9678 0.8724 0.5994

Summary:
energy above the lowest structure with this stoichiometry: 32.8 meV/atom
energy relative to the elements, uncorrected: -2.5919 eV per atom
E: -6.918 eV/atom
calculated density: 3.0 g/cm3

---

(3)
First-principles (PBEsol) data for crystalline Tl2CdCu at its relaxed geometry, as listed in the Alexandria database.

abc: 6.8413 6.8413 6.8413
angles: 153.75 140.72 47.86
Atoms (fractional coordinates):
Tl1 0.0000 0.0000 0.0000
Tl2 0.6977 0.1977 0.5000
Cd1 0.3158 0.8158 0.5000
Cu1 0.4963 0.4963 0.0000

Summary:
energy relative to the elements: 177 meV/atom
energy above the lowest structure with this stoichiometry: 0.0 meV/atom
E: -2.521 eV/atom
calculated density: 10.9 g/cm3

---

(4)
First-principles (PBEsol) data for crystalline Lu2ZnGa at its relaxed geometry, as listed in the Alexandria database.

abc: 4.8514 4.8514 4.8514
angles: 60.00 60.00 60.00
Atoms (fractional coordinates):
Lu1 0.2500 0.2500 0.2500
Lu2 0.7500 0.7500 0.7500
Zn1 0.0000 0.0000 0.0000
Ga1 0.5000 0.5000 0.5000

Summary:
energy relative to the elements: -498 meV/atom
E: -4.165 eV/atom
calculated density: 10.0 g/cm3

---

(5)
First-principles (PBEsol) data for crystalline CoIr4Pt at its relaxed geometry, as listed in the Alexandria database.

abc: 5.0619 5.0619 5.0619
angles: 60.00 60.00 60.00
Atoms (fractional coordinates):
Co1 0.0000 0.0000 0.0000
Ir1 0.3749 0.3749 0.3749
Ir2 0.3749 0.3749 0.8752
Ir3 0.3749 0.8752 0.3749
Ir4 0.8752 0.3749 0.3749
Pt1 0.7500 0.7500 0.7500

Summary:
energy relative to the elements: 750 meV/atom
E: -8.249 eV/atom
calculated density: 18.5 g/cm3

---

(6)
First-principles (PBEsol) data for crystalline ThAu at its relaxed geometry, as listed in the Alexandria database.

abc: 11.4313 11.4313 4.6885
angles: 90.00 90.00 161.24
Atoms (fractional coordinates):
Th1 0.0502 0.9498 0.7500
Th2 0.1968 0.8032 0.2500
Th3 0.8032 0.1968 0.7500
Th4 0.9498 0.0502 0.2500
Au1 0.3376 0.6624 0.2500
Au2 0.4207 0.5793 0.7500
Au3 0.5793 0.4207 0.2500
Au4 0.6624 0.3376 0.7500

Summary:
energy relative to the elements: -584 meV/atom
E: -6.599 eV/atom
calculated density: 14.5 g/cm3